# Dy2ErSn3Pt3 (GGA-PBE, optimized geometry)
# Crystal system: orthorhombic
# Calculated density: 12161 kg/m3
# Volume: 392 Å³/cell
# Final energy: -107.61 eV/cell
data_Dy2ErSn3Pt3
_chemical_formula_sum 'Dy4 Er2 Sn6 Pt6'
_symmetry_space_group_name_H-M 'A m m 2'
_symmetry_Int_Tables_number 38
_symmetry_space_group_name_Hall 'A 2 -2'
_cell_length_a 4.012
_cell_length_b 12.987
_cell_length_c 7.514
_cell_angle_alpha 90.00
_cell_angle_beta 90.00
_cell_angle_gamma 90.00
loop_
_atom_site_label
_atom_site_type_symbol
_atom_site_fract_x
_atom_site_fract_y
_atom_site_fract_z
_atom_site_occupancy
Dy1 Dy 0.000 0.203 0.000 1
Er1 Er 0.000 0.000 0.391 1
Sn1 Sn 0.500 0.000 0.056 1
Sn2 Sn 0.500 0.129 0.667 1
Pt1 Pt 0.000 0.000 0.796 1
Pt2 Pt 0.500 0.166 0.297 1


# Dy3Er4Te2Pt2 (GGA-PBE, optimized geometry)
# Crystal system: orthorhombic
# Calculated density: 10148 kg/m3
# Volume: 590 Å³/cell
# Final energy: -123.58 eV/cell
data_Dy3Er4Te2Pt2
_chemical_formula_sum 'Dy6 Er8 Te4 Pt4'
_symmetry_space_group_name_H-M 'I m m 2'
_symmetry_Int_Tables_number 44
_symmetry_space_group_name_Hall 'I 2 -2'
_cell_length_a 3.930
_cell_length_b 15.652
_cell_length_c 9.586
_cell_angle_alpha 90.00
_cell_angle_beta 90.00
_cell_angle_gamma 90.00
loop_
_atom_site_label
_atom_site_type_symbol
_atom_site_fract_x
_atom_site_fract_y
_atom_site_fract_z
_atom_site_occupancy
Dy1 Dy 0.000 0.000 0.000 1
Dy2 Dy 0.000 0.130 0.582 1
Er1 Er 0.000 0.317 0.375 1
Er2 Er 0.000 0.356 0.732 1
Te1 Te 0.000 0.000 0.335 1
Te2 Te 0.000 0.500 0.238 1
Pt1 Pt 0.000 0.237 0.073 1


Which of these has the lowest calculated density?
Dy3Er4Te2Pt2